Model a:
Tl2Sn3Cl8: relaxed, GGA-PBE.

a b c (Å): 14.6884 8.6861 7.2559
angles (deg): 90.00 90.71 90.00
With the nearest neighbours (Å) after each atom.
Space group C2/m (No. 12)
One atom of each set of equivalent atoms:
Tl 0.2209 0.0000 0.0029 (multiplicity 4)  6 Cl 3.12-3.46
Sn 0.0000 0.2431 0.5000 (multiplicity 4)  6 Cl 2.79-3.04
Sn 0.0000 0.5000 0.0000 (multiplicity 2)  6 Cl 2.85-2.87
Cl 0.1046 0.0000 0.3679 (multiplicity 4)  2 Sn 2.79
Cl 0.1104 0.5000 0.3260 (multiplicity 4)  3 Sn 2.85-3.04
Cl 0.1112 0.2716 0.8273 (multiplicity 8)  2 Sn 2.87-2.88, 1 Tl 3.12

Computed properties:
Crystal system   monoclinic



Model b:
Tl2Sn3Cl8: relaxed, GGA-PBE.

a b c (Å): 15.6414 8.5540 7.3402
angles (deg): 90.00 109.61 90.00
With the nearest neighbours (Å) after each atom.
Space group C2/m (No. 12)
One atom of each set of equivalent atoms:
Tl 0.2288 0.0000 0.1637 (multiplicity 4)  6 Cl 3.18-3.35
Sn 0.0000 0.2401 0.5000 (multiplicity 4)  6 Cl 2.78-3.03
Sn 0.0000 0.5000 0.0000 (multiplicity 2)  6 Cl 2.86-2.87
Cl 0.1094 0.0000 0.4491 (multiplicity 4)  2 Sn 2.78
Cl 0.1092 0.5000 0.4018 (multiplicity 4)  3 Sn 2.87-3.03
Cl 0.1100 0.2699 0.9010 (multiplicity 8)  2 Sn 2.86-2.88, 1 Tl 3.18

Computed properties:
Crystal system   monoclinic



model b (0.010 eV/atom below the next structure)